No. 1
A relaxed YCdSn3 crystal, computed with PBE.

POSCAR file:
```
YCdSn3
1.0
-0.971 4.689 -4.087
-3.062 -3.945 -3.797
-11.272 2.933 6.043
Sn Cd Y
12 4 4
Direct
0.250 0.697 0.082
0.250 0.486 0.724
0.500 0.250 0.500
0.750 0.303 0.918
0.000 0.750 0.500
0.750 0.803 0.082
0.750 0.514 0.276
0.750 0.014 0.724
0.000 0.250 0.500
0.250 0.197 0.918
0.250 0.986 0.276
0.500 0.750 0.500
0.000 0.750 0.883
0.500 0.250 0.117
0.500 0.750 0.883
0.000 0.250 0.117
0.750 0.508 0.689
0.250 0.492 0.311
0.750 0.008 0.311
0.250 0.992 0.689
```

Results
space group	No. 57

=====

No. 2
A relaxed Y3Cd2Sn4 crystal, computed with PBE.

POSCAR file:
```
Y3Cd2Sn4
1.0
4.411 0.001 -1.227
-0.734 6.439 -2.627
-0.035 0.022 8.396
Sn Cd Y
4 2 3
Direct
0.219 0.282 0.438
0.483 0.691 0.966
0.781 0.718 0.562
0.517 0.309 0.034
0.669 0.999 0.338
0.331 0.001 0.662
0.000 0.000 0.000
0.126 0.621 0.253
0.874 0.379 0.747
```

Results
space group	No. 12

=====

No. 3
A relaxed YCd2Sn2 crystal, computed with PBE.

POSCAR file:
```
YCd2Sn2
1.0
4.258 0.000 0.000
0.000 4.258 0.000
2.129 2.129 7.310
Cd Sn Y
2 2 1
Direct
0.250 0.750 0.500
0.750 0.250 0.500
0.398 0.398 0.203
0.602 0.602 0.797
0.000 0.000 0.000
```

Results
space group	No. 139

=====

No. 4
A relaxed YCd11Sn crystal, computed with PBE.

POSCAR file:
```
YCd11Sn
1.0
-6.267 0.505 1.371
-2.476 -4.542 5.587
-1.709 5.231 5.364
Y Cd Sn
1 11 1
Direct
0.000 0.000 0.000
0.658 0.347 0.351
0.729 0.788 0.783
0.271 0.212 0.217
0.500 0.000 0.500
0.991 0.653 0.351
0.342 0.653 0.649
0.000 0.500 0.000
0.512 0.788 0.217
0.009 0.347 0.649
0.488 0.212 0.783
0.000 0.000 0.500
0.500 0.500 0.000
```

Results
space group	No. 12

=====

No. 5
A relaxed Y2CdSn4 crystal, computed with PBE.

POSCAR file:
```
Y2CdSn4
1.0
-4.270 -4.004 -2.798
1.577 -4.637 4.256
-1.898 5.837 2.097
Sn Y Cd
4 2 1
Direct
0.786 0.286 0.071
0.786 0.786 0.072
0.286 0.786 0.071
0.286 0.286 0.071
0.286 0.786 0.572
0.786 0.286 0.572
0.786 0.786 0.571
```

Results
space group	No. 12

=====

No. 6
A relaxed Y4Cd2Sn crystal, computed with PBE.

POSCAR file:
```
Y4Cd2Sn
1.0
4.989 0.000 1.559
2.251 4.452 1.559
-0.100 -0.061 9.084
Y Sn Cd
4 1 2
Direct
0.872 0.872 0.383
0.128 0.128 0.617
0.620 0.620 0.140
0.380 0.380 0.860
0.000 0.000 0.000
0.751 0.751 0.746
0.249 0.249 0.254
```

Results
space group	No. 166

=====

No. 7
A relaxed Y2CdSn2 crystal, computed with PBE.

POSCAR file:
```
Y2CdSn2
1.0
-3.261 -2.767 1.642
1.663 -2.472 5.529
-5.056 6.041 6.533
Sn Y Cd
4 4 2
Direct
0.951 0.204 0.894
0.049 0.796 0.106
0.858 0.715 0.570
0.142 0.285 0.430
0.505 0.667 0.324
0.320 0.257 0.103
0.495 0.333 0.676
0.680 0.743 0.897
0.201 0.924 0.673
0.799 0.076 0.327
```

Results
space group	No. 12

=====

No. 8
A relaxed Y6Cd5Sn crystal, computed with PBE.

POSCAR file:
```
Y6Cd5Sn
1.0
5.045 -0.030 1.678
0.040 7.439 0.013
-0.012 -0.015 8.427
Sn Cd Y
1 5 6
Direct
0.000 0.000 0.000
0.000 0.500 0.000
0.326 0.000 0.349
0.666 0.500 0.668
0.674 0.000 0.651
0.334 0.500 0.332
0.500 0.248 0.000
0.834 0.748 0.332
0.166 0.748 0.668
0.834 0.252 0.332
0.166 0.252 0.668
0.500 0.752 0.000
```

Results
space group	No. 10

=====

No. 9
A relaxed YCdSn crystal, computed with PBE.

POSCAR file:
```
YCdSn
1.0
9.533 1.858 0.000
0.698 9.687 0.000
-5.115 -5.772 3.865
Cd Sn Y
4 4 4
Direct
0.125 0.375 0.750
0.625 0.875 0.250
0.625 0.375 0.750
0.625 0.375 0.250
0.061 0.561 0.122
0.811 0.811 0.622
0.189 0.189 0.378
0.439 0.939 0.878
0.815 0.815 0.000
0.435 0.935 0.500
0.185 0.185 0.000
0.065 0.565 0.500
```

Results
space group	No. 70

=====

No. 10
A relaxed Y2Cd16Sn crystal, computed with PBE.

POSCAR file:
```
Y2Cd16Sn
1.0
-1.972 6.289 3.927
2.402 -2.483 6.851
6.895 3.356 -0.245
Cd Y Sn
16 2 1
Direct
0.028 0.466 0.028
0.318 0.686 0.997
0.997 0.686 0.318
0.686 0.997 0.318
0.091 0.091 0.091
0.318 0.997 0.686
0.661 0.135 0.661
0.997 0.318 0.686
0.661 0.661 0.135
0.135 0.661 0.661
0.686 0.318 0.997
0.372 0.782 0.372
0.782 0.372 0.372
0.466 0.028 0.028
0.372 0.372 0.782
0.028 0.028 0.466
0.333 0.333 0.333
0.675 0.675 0.675
0.895 0.895 0.895
```

Results
space group	No. 160

=====

No. 11
A relaxed YCdSn crystal, computed with PBE.

POSCAR file:
```
YCdSn
1.0
3.338 0.000 0.000
0.000 3.338 0.000
-1.669 -1.669 8.178
Y Cd Sn
1 1 1
Direct
0.135 0.135 0.271
0.946 0.946 0.892
0.768 0.768 0.537
```

Results
space group	No. 107

=====

No. 12
A relaxed Y2CdSn2 crystal, computed with PBE.

POSCAR file:
```
Y2CdSn2
1.0
5.909 0.000 0.000
0.000 5.909 0.000
2.955 2.955 4.613
Sn Y Cd
2 2 1
Direct
0.337 0.337 0.327
0.663 0.663 0.673
0.250 0.750 0.500
0.750 0.250 0.500
0.000 0.000 0.000
```

Results
space group	No. 139

=====

No. 13
A relaxed YCd3Sn crystal, computed with PBE.

POSCAR file:
```
YCd3Sn
1.0
-1.630 -5.184 0.040
4.045 -1.246 3.408
-3.242 1.052 4.233
Y Cd Sn
1 3 1
Direct
0.500 0.500 0.500
0.500 0.000 0.000
0.000 0.000 0.500
0.000 0.500 0.000
0.000 0.000 0.000
```

Results
space group	No. 221

=====

No. 14
A relaxed YCd2Sn2 crystal, computed with PBE.

POSCAR file:
```
YCd2Sn2
1.0
4.434 0.000 0.000
0.000 4.469 0.000
-2.217 0.000 12.311
Y Sn Cd
2 4 4
Direct
0.350 0.250 0.699
0.650 0.750 0.301
0.133 0.250 0.266
0.250 0.750 0.501
0.867 0.750 0.734
0.750 0.250 0.499
0.955 0.250 0.909
0.045 0.750 0.091
0.544 0.250 0.087
0.456 0.750 0.913
```

Results
space group	No. 63

=====

No. 15
A relaxed YCd2Sn crystal, computed with PBE.

POSCAR file:
```
YCd2Sn
1.0
-1.819 -0.796 -3.897
2.832 -3.269 -0.654
-6.719 -9.263 2.573
Y Cd Sn
2 4 2
Direct
0.250 0.750 0.500
0.500 0.500 0.000
0.875 0.880 0.750
0.120 0.625 0.250
0.375 0.370 0.750
0.630 0.125 0.250
0.000 0.000 0.000
0.750 0.250 0.500
```

Results
space group	No. 122

=====

No. 16
A relaxed YCd2Sn crystal, computed with PBE.

POSCAR file:
```
YCd2Sn
1.0
-0.877 1.401 -2.917
-3.221 0.059 -0.930
-2.700 10.615 3.986
Sn Y Cd
1 1 2
Direct
0.500 0.500 0.500
0.000 0.000 0.000
0.909 0.909 0.272
0.091 0.091 0.728
```

Results
space group	No. 166

=====

No. 17
A relaxed Y7Cd2Sn2 crystal, computed with PBE.

POSCAR file:
```
Y7Cd2Sn2
1.0
-6.682 -1.550 -0.428
1.780 -7.525 -0.527
2.002 0.013 6.575
Cd Y Sn
2 7 2
Direct
0.284 0.000 0.716
0.716 0.000 0.284
0.500 0.290 0.000
0.500 0.750 0.500
0.000 0.290 0.500
0.000 0.710 0.500
0.500 0.250 0.500
0.500 0.710 0.000
0.000 0.000 0.000
0.817 0.500 0.817
0.183 0.500 0.183
```

Results
space group	No. 65

=====

No. 18
A relaxed Y2CdSn4 crystal, computed with PBE.

POSCAR file:
```
Y2CdSn4
1.0
-2.062 2.723 -2.866
1.154 -2.677 -3.373
-8.143 -4.957 1.148
Sn Cd Y
4 1 2
Direct
0.000 0.500 0.806
0.500 0.000 0.194
0.500 0.500 0.500
0.000 0.000 0.500
0.500 0.500 0.000
0.000 0.500 0.242
0.500 0.000 0.758
```

Results
space group	No. 115

=====

No. 19
A relaxed YCd3Sn crystal, computed with PBE.

POSCAR file:
```
YCd3Sn
1.0
-5.597 -0.735 -1.127
0.632 -5.693 0.576
-1.188 0.437 5.616
Cd Sn Y
3 1 1
Direct
0.000 0.500 0.000
0.500 0.000 0.000
0.000 0.000 0.500
0.500 0.500 0.500
0.000 0.000 0.000
```

Results
space group	No. 221

=====

No. 20
A relaxed YCd2Sn2 crystal, computed with PBE.

POSCAR file:
```
YCd2Sn2
1.0
8.330 0.000 0.000
0.000 8.330 0.000
0.000 0.000 3.706
Sn Cd Y
4 4 2
Direct
0.180 0.680 0.500
0.680 0.820 0.500
0.320 0.180 0.500
0.820 0.320 0.500
0.379 0.879 0.000
0.621 0.121 0.000
0.121 0.379 0.000
0.879 0.621 0.000
0.000 0.000 0.000
0.500 0.500 0.000
```

Results
space group	No. 127

=====

No. 21
A relaxed YZnCdSn2 crystal, computed with PBE.

POSCAR file:
```
YZnCdSn2
1.0
5.519 0.000 0.000
0.000 4.837 0.000
0.000 0.000 5.519
Cd Sn Zn Y
1 2 1 1
Direct
0.000 0.000 0.000
0.000 0.000 0.500
0.500 0.000 0.000
0.000 0.500 0.000
0.500 0.500 0.500
```

Results
space group	No. 123

=====

No. 22
A relaxed YZnCdSn crystal, computed with PBE.

POSCAR file:
```
YZnCdSn
1.0
-4.019 -0.814 1.706
-1.309 -1.620 -3.857
1.408 -4.228 1.298
Y Cd Zn Sn
1 1 1 1
Direct
0.000 0.000 0.000
0.500 0.000 0.500
0.000 0.500 0.500
0.500 0.500 0.000
```

Results
space group	No. 47

=====

No. 23
A relaxed Y2ZrCdSn crystal, computed with PBE.

POSCAR file:
```
Y2ZrCdSn
1.0
5.493 0.000 0.000
0.000 5.493 0.000
0.000 0.000 5.324
Zr Cd Y Sn
1 1 2 1
Direct
0.000 0.000 0.500
0.000 0.000 0.000
0.000 0.500 0.000
0.500 0.000 0.000
0.500 0.500 0.500
```

Results
space group	No. 123

=====

No. 24
A relaxed YbCdSn crystal, computed with PBE.

POSCAR file:
```
YbCdSn
1.0
-1.132 -1.953 4.117
7.404 -0.999 1.562
-3.506 6.448 2.095
Sn Yb Cd
3 3 3
Direct
0.000 0.333 0.667
0.500 0.000 0.000
0.000 0.667 0.333
0.500 0.573 0.000
0.500 0.000 0.573
0.500 0.427 0.427
0.000 0.000 0.251
0.000 0.251 0.000
0.000 0.749 0.749
```

Results
space group	No. 189

=====

no.,raw total energy (eV per formula unit)
1,-21.0
2,-42.0
3,-17.2
4,-21.0
5,-32.9
6,-33.6
7,-24.7
8,-52.5
9,-12.0
10,-33.6
11,-11.5
12,-22.6
13,-11.1
14,-18.1
15,-13.1
16,-11.6
17,-56.1
18,-32.6
19,-9.5
20,-17.2
21,-15.2
22,-14.3
23,-24.5
24,-8.1